# ZrBi2Cl, optimized geometry, DFT PBE
# Total energy in eV per atom: -4.535
# Density in Mg/m³: 8.012
# Uncorrected formation energy in meV/atom: 5
# Energy above the lowest structure with this stoichiometry in eV per atom: 0.000
data_ZrBi2Cl
_cell_length_a 4.460
_cell_length_b 4.460
_cell_length_c 22.695
_cell_angle_alpha 90.00
_cell_angle_beta 90.00
_cell_angle_gamma 90.00
_symmetry_space_group_name_H-M 'I -4 2 d'
_symmetry_Int_Tables_number 122
_symmetry_space_group_name_Hall 'I -4 2bw'
loop_
_atom_site_label
_atom_site_type_symbol
_atom_site_fract_x
_atom_site_fract_y
_atom_site_fract_z
Zr1 Zr 0.000 0.000 0.000
Bi1 Bi 0.229 0.250 0.125
Cl1 Cl 0.000 0.000 0.500

***

# ZrBi2Cl, optimized geometry, DFT PBE
# Total energy in eV per atom: -4.473
# Density in Mg/m³: 8.494
# Uncorrected formation energy in meV/atom: 66
# Energy above the lowest structure with this stoichiometry in eV per atom: 0.061
data_ZrBi2Cl
_cell_length_a 7.524
_cell_length_b 7.524
_cell_length_c 7.524
_cell_angle_alpha 90.00
_cell_angle_beta 90.00
_cell_angle_gamma 90.00
_symmetry_space_group_name_H-M 'F m -3 m'
_symmetry_Int_Tables_number 225
_symmetry_space_group_name_Hall '-F 4 2 3'
loop_
_atom_site_label
_atom_site_type_symbol
_atom_site_fract_x
_atom_site_fract_y
_atom_site_fract_z
Zr1 Zr 0.000 0.000 0.000
Bi1 Bi 0.250 0.250 0.250
Cl1 Cl 0.000 0.000 0.500

***

# ZrBiCl, optimized geometry, DFT PBE
# Total energy in eV per atom: -5.411
# Density in Mg/m³: 6.786
# Uncorrected formation energy in meV/atom: -653
data_ZrBiCl
_cell_length_a 15.299
_cell_length_b 6.716
_cell_length_c 10.900
_cell_angle_alpha 90.00
_cell_angle_beta 118.34
_cell_angle_gamma 90.00
_symmetry_space_group_name_H-M 'C 1 c 1'
_symmetry_Int_Tables_number 9
loop_
_symmetry_equiv_pos_as_xyz
'x,y,z'
'x,-y,z+1/2'
'x+1/2,y+1/2,z'
'x+1/2,-y+1/2,z+1/2'
loop_
_atom_site_label
_atom_site_type_symbol
_atom_site_fract_x
_atom_site_fract_y
_atom_site_fract_z
Zr1 Zr 0.000 0.029 0.000
Zr2 Zr 0.179 0.404 0.569
Zr3 Zr 0.244 0.086 0.161
Bi1 Bi 0.120 0.310 0.259
Bi2 Bi 0.338 0.180 0.511
Bi3 Bi 0.393 0.396 0.178
Cl1 Cl 0.114 0.249 0.935
Cl2 Cl 0.260 0.229 0.798
Cl3 Cl 0.495 0.162 0.978

***

# CoBi3, optimized geometry, DFT PBE
# Total energy in eV per atom: -4.657
# ΔH_f (0 K) in eV/atom: 0.03
# Density in Mg/m³: 10.603
# Energy above the lowest structure with this stoichiometry in eV per atom: 0.000
data_CoBi3
_cell_length_a 8.893
_cell_length_b 4.093
_cell_length_c 11.805
_cell_angle_alpha 90.00
_cell_angle_beta 90.00
_cell_angle_gamma 90.00
_symmetry_space_group_name_H-M 'P n m a'
_symmetry_Int_Tables_number 62
loop_
_symmetry_equiv_pos_as_xyz
'x,y,z'
'-x,-y,-z'
'-x+1/2,-y,z+1/2'
'x+1/2,y,-z+1/2'
'x+1/2,-y+1/2,-z+1/2'
'-x+1/2,y+1/2,z+1/2'
'-x,y+1/2,-z'
'x,-y+1/2,z'
loop_
_atom_site_label
_atom_site_type_symbol
_atom_site_fract_x
_atom_site_fract_y
_atom_site_fract_z
Co1 Co 0.091 0.250 0.020
Bi1 Bi 0.091 0.750 0.172
Bi2 Bi 0.121 0.750 0.592
Bi3 Bi 0.199 0.750 0.896

***

# Co6Bi, optimized geometry, DFT PBE
# Total energy in eV per atom: -5.699
# ΔH_f (0 K) in eV/atom: 0.95
# Density in Mg/m³: 8.393
data_Co6Bi
_cell_length_a 6.061
_cell_length_b 6.061
_cell_length_c 6.061
_cell_angle_alpha 90.00
_cell_angle_beta 90.00
_cell_angle_gamma 90.00
_symmetry_space_group_name_H-M 'I m -3 m'
_symmetry_Int_Tables_number 229
_symmetry_space_group_name_Hall '-I 4 2 3'
loop_
_atom_site_label
_atom_site_type_symbol
_atom_site_fract_x
_atom_site_fract_y
_atom_site_fract_z
Co1 Co 0.000 0.250 0.500
Bi1 Bi 0.000 0.000 0.000

***

# CoBi3, optimized geometry, DFT PBE
# Total energy in eV per atom: -4.471
# ΔH_f (0 K) in eV/atom: 0.22
# Density in Mg/m³: 10.390
# Energy above the lowest structure with this stoichiometry in eV per atom: 0.186
data_CoBi3
_cell_length_a 3.354
_cell_length_b 11.951
_cell_length_c 5.469
_cell_angle_alpha 90.00
_cell_angle_beta 90.00
_cell_angle_gamma 90.00
_symmetry_space_group_name_H-M 'I m m 2'
_symmetry_Int_Tables_number 44
loop_
_symmetry_equiv_pos_as_xyz
'x,y,z'
'-x,-y,z'
'-x,y,z'
'x,-y,z'
'x+1/2,y+1/2,z+1/2'
'-x+1/2,-y+1/2,z+1/2'
'-x+1/2,y+1/2,z+1/2'
'x+1/2,-y+1/2,z+1/2'
loop_
_atom_site_label
_atom_site_type_symbol
_atom_site_fract_x
_atom_site_fract_y
_atom_site_fract_z
Co1 Co 0.000 0.000 0.000
Bi1 Bi 0.000 0.336 0.654
Bi2 Bi 0.000 0.500 0.119

***

Question: Look up the density of the first one.
Answer: 8.012 Mg/m³

***

Question: The highest density belongs to which entry?
Answer: number 4

***

Question: density of number 3 (ZrBiCl)?
Answer: 6.786 Mg/m³

***

Please write out number 4 again, unchanged.
# CoBi3, optimized geometry, DFT PBE
# Total energy in eV per atom: -4.657
# ΔH_f (0 K) in eV/atom: 0.03
# Density in Mg/m³: 10.603
# Energy above the lowest structure with this stoichiometry in eV per atom: 0.000
data_CoBi3
_cell_length_a 8.893
_cell_length_b 4.093
_cell_length_c 11.805
_cell_angle_alpha 90.00
_cell_angle_beta 90.00
_cell_angle_gamma 90.00
_symmetry_space_group_name_H-M 'P n m a'
_symmetry_Int_Tables_number 62
loop_
_symmetry_equiv_pos_as_xyz
'x,y,z'
'-x,-y,-z'
'-x+1/2,-y,z+1/2'
'x+1/2,y,-z+1/2'
'x+1/2,-y+1/2,-z+1/2'
'-x+1/2,y+1/2,z+1/2'
'-x,y+1/2,-z'
'x,-y+1/2,z'
loop_
_atom_site_label
_atom_site_type_symbol
_atom_site_fract_x
_atom_site_fract_y
_atom_site_fract_z
Co1 Co 0.091 0.250 0.020
Bi1 Bi 0.091 0.750 0.172
Bi2 Bi 0.121 0.750 0.592
Bi3 Bi 0.199 0.750 0.896